First-principles (GGA-PBE) data for SrLa2In2 after structural relaxation, as listed in the Alexandria database.

```
SrLa2In2
1.0
5.672 0.000 0.000
-2.836 4.912 0.000
0.000 0.000 6.640
Sr La In
1 2 2
Direct
0.000 0.000 0.000
0.333 0.667 0.679
0.667 0.333 0.321
0.333 0.667 0.180
0.667 0.333 0.820
```

Calculated values
calculated density	5.34	g cm⁻³
total energy	-18.3	eV per cell
energy relative to the elements	-262	meV per atom
crystal system	trigonal
distance to the lowest polymorph of the same formula	110	meV/atom